No. 1
{
  "formula": "Np2MnTl2S6",
  "functional": "PBE-GGA",
  "state": "relaxed",
  "energy_ev_per_atom": -6.78,
  "crystal_system": "monoclinic",
  "sg": "C2/m (12)",
  "lattice_angstrom": [[3.352, -5.837, 0.000], [3.352, 5.837, 0.000], [-2.192, 0.000, 7.598]],
  "species": ["Np", "Np", "Mn", "Tl", "Tl", "S", "S", "S", "S", "S", "S"],
  "frac_coords": [[0.166, 0.834, 0.000], [0.834, 0.166, 0.000], [0.500, 0.500, 0.000], [0.335, 0.665, 0.500], [0.665, 0.335, 0.500], [0.104, 0.439, 0.809], [0.237, 0.237, 0.186], [0.439, 0.104, 0.809], [0.561, 0.896, 0.191], [0.763, 0.763, 0.814], [0.896, 0.561, 0.191]]
}

No. 2
{
  "formula": "Np2MnTl3S6",
  "functional": "PBE-GGA",
  "state": "relaxed",
  "energy_ev_per_atom": -6.44,
  "crystal_system": "monoclinic",
  "sg": "C2/m (12)",
  "lattice_angstrom": [[3.412, -5.899, 0.000], [3.412, 5.899, 0.000], [-2.274, 0.000, 7.529]],
  "species": ["Np", "Np", "Mn", "Tl", "Tl", "Tl", "S", "S", "S", "S", "S", "S"],
  "frac_coords": [[0.167, 0.833, 0.000], [0.833, 0.167, 0.000], [0.500, 0.500, 0.000], [0.000, 0.000, 0.500], [0.331, 0.669, 0.500], [0.669, 0.331, 0.500], [0.114, 0.437, 0.810], [0.240, 0.240, 0.193], [0.437, 0.114, 0.810], [0.563, 0.886, 0.190], [0.760, 0.760, 0.807], [0.886, 0.563, 0.190]]
}

No. 3
{
  "formula": "Np2MnTlS4",
  "functional": "PBE-GGA",
  "state": "relaxed",
  "energy_ev_per_atom": -7.70,
  "crystal_system": "orthorhombic",
  "sg": "Cmcm (63)",
  "lattice_angstrom": [[1.998, -6.794, 0.000], [1.998, 6.794, 0.000], [0.000, 0.000, 13.806]],
  "species": ["Np", "Np", "Np", "Np", "Mn", "Mn", "Tl", "Tl", "S", "S", "S", "S", "S", "S", "S", "S"],
  "frac_coords": [[0.132, 0.868, 0.558], [0.132, 0.868, 0.942], [0.868, 0.132, 0.058], [0.868, 0.132, 0.442], [0.329, 0.671, 0.250], [0.671, 0.329, 0.750], [0.397, 0.603, 0.750], [0.603, 0.397, 0.250], [0.082, 0.918, 0.750], [0.240, 0.760, 0.108], [0.240, 0.760, 0.392], [0.500, 0.500, 0.000], [0.500, 0.500, 0.500], [0.760, 0.240, 0.608], [0.760, 0.240, 0.892], [0.918, 0.082, 0.250]]
}

No. 4
{
  "formula": "Np3MnTl4S8",
  "functional": "PBE-GGA",
  "state": "relaxed",
  "energy_ev_per_atom": -6.55,
  "crystal_system": "trigonal",
  "sg": "R-3m (166)",
  "lattice_angstrom": [[3.974, 2.294, 7.523], [-3.974, 2.294, 7.523], [0.000, -4.589, 7.523]],
  "species": ["Np", "Np", "Np", "Mn", "Tl", "Tl", "Tl", "Tl", "S", "S", "S", "S", "S", "S", "S", "S"],
  "frac_coords": [[0.000, 0.500, 0.500], [0.500, 0.000, 0.500], [0.500, 0.500, 0.000], [0.000, 0.000, 0.000], [0.000, 0.000, 0.500], [0.000, 0.500, 0.000], [0.500, 0.000, 0.000], [0.500, 0.500, 0.500], [0.227, 0.227, 0.736], [0.227, 0.736, 0.227], [0.264, 0.773, 0.773], [0.268, 0.268, 0.268], [0.732, 0.732, 0.732], [0.736, 0.227, 0.227], [0.773, 0.264, 0.773], [0.773, 0.773, 0.264]]
}

No. 5
{
  "formula": "NpMnTlS3",
  "functional": "PBE-GGA",
  "state": "relaxed",
  "energy_ev_per_atom": -6.99,
  "crystal_system": "monoclinic",
  "sg": "P2_1/m (11)",
  "lattice_angstrom": [[8.806, 0.000, 0.000], [0.000, 4.030, 0.000], [-2.562, 0.000, 8.873]],
  "species": ["Np", "Np", "Mn", "Mn", "Tl", "Tl", "S", "S", "S", "S", "S", "S"],
  "frac_coords": [[0.169, 0.250, 0.152], [0.831, 0.750, 0.848], [0.423, 0.750, 0.399], [0.577, 0.250, 0.601], [0.298, 0.750, 0.778], [0.702, 0.250, 0.222], [0.041, 0.250, 0.847], [0.308, 0.250, 0.456], [0.376, 0.750, 0.136], [0.624, 0.250, 0.864], [0.692, 0.750, 0.544], [0.959, 0.750, 0.153]]
}

No. 6
{
  "formula": "NpMn2Tl2S4",
  "functional": "PBE-GGA",
  "state": "relaxed",
  "energy_ev_per_atom": -6.49,
  "crystal_system": "monoclinic",
  "sg": "C2/m (12)",
  "lattice_angstrom": [[7.343, -1.983, 0.000], [7.343, 1.983, 0.000], [-2.410, 0.000, 7.216]],
  "species": ["Np", "Mn", "Mn", "Tl", "Tl", "S", "S", "S", "S"],
  "frac_coords": [[0.000, 0.000, 0.000], [0.319, 0.319, 0.024], [0.681, 0.681, 0.976], [0.136, 0.136, 0.568], [0.864, 0.864, 0.432], [0.194, 0.194, 0.154], [0.477, 0.477, 0.230], [0.523, 0.523, 0.770], [0.806, 0.806, 0.846]]
}

No. 7
{
  "formula": "Np3MnTl3S8",
  "functional": "PBE-GGA",
  "state": "relaxed",
  "energy_ev_per_atom": -6.79,
  "crystal_system": "triclinic",
  "sg": "P-1 (2)",
  "lattice_angstrom": [[7.867, 0.000, 0.000], [3.926, 6.844, 0.000], [0.000, 4.546, 7.575]],
  "species": ["Np", "Np", "Np", "Mn", "Tl", "Tl", "Tl", "S", "S", "S", "S", "S", "S", "S", "S"],
  "frac_coords": [[0.000, 0.000, 0.000], [0.000, 0.500, 0.000], [0.500, 0.000, 0.000], [0.500, 0.500, 0.000], [0.000, 0.000, 0.500], [0.500, 0.000, 0.500], [0.500, 0.500, 0.500], [0.234, 0.033, 0.199], [0.238, 0.535, 0.188], [0.274, 0.464, 0.812], [0.274, 0.952, 0.813], [0.726, 0.048, 0.187], [0.726, 0.536, 0.188], [0.762, 0.465, 0.812], [0.766, 0.967, 0.801]]
}

No. 8
{
  "formula": "NpUMn2S8",
  "functional": "PBE-GGA",
  "state": "relaxed",
  "energy_ev_per_atom": -7.09,
  "crystal_system": "tetragonal",
  "sg": "I-4 (82)",
  "lattice_angstrom": [[-3.142, 3.142, 6.307], [3.142, -3.142, 6.307], [3.142, 3.142, -6.307]],
  "species": ["Np", "U", "Mn", "Mn", "S", "S", "S", "S", "S", "S", "S", "S"],
  "frac_coords": [[0.000, 0.000, 0.000], [0.250, 0.750, 0.500], [0.500, 0.500, 0.000], [0.750, 0.250, 0.500], [0.009, 0.056, 0.403], [0.245, 0.694, 0.104], [0.306, 0.410, 0.551], [0.394, 0.991, 0.047], [0.590, 0.141, 0.896], [0.654, 0.606, 0.597], [0.859, 0.755, 0.449], [0.944, 0.346, 0.953]]
}